Crystalline Ca2NpPdO6 at its relaxed geometry. Source: Alexandria via LeMat-Bulk, functional PBE-GGA. Values from VASP.

Cell and atoms, written as Quantum ESPRESSO input:
```
&SYSTEM
  ibrav = 0, nat = 10, ntyp = 4
/
ATOMIC_SPECIES
Ca 40.08 Ca.upf
Np 237.00 Np.upf
Pd 106.42 Pd.upf
O 16.00 O.upf
ATOMIC_POSITIONS angstrom
Ca 0.055 -1.698 1.755
Ca -1.366 -4.420 -1.163
Np 1.356 -1.741 -1.727
Pd -2.300 -0.765 -1.035
O 0.553 -3.260 -0.827
O 0.093 -1.732 4.148
O -2.793 -2.603 -1.787
O 1.482 -3.515 2.378
O -1.404 -4.386 -3.556
O -1.864 -2.859 1.418
CELL_PARAMETERS angstrom
-4.599 -1.530 -2.069
2.712 -3.482 -3.454
0.576 -1.106 6.115
```

Calculated values
Density of states at the Fermi level, states/eV per cell: 3.61
ΔE_f (raw), kJ per mole of atoms: -238
Energy, eV per atom: -7.654
SG: No. 12



Crystalline Ca2PmNpO6 at its relaxed geometry. Source: Alexandria via LeMat-Bulk, functional PBE-GGA. Values from VASP.

Cell and atoms, written as Quantum ESPRESSO input:
```
&SYSTEM
  ibrav = 0, nat = 10, ntyp = 4
/
ATOMIC_SPECIES
Ca 40.08 Ca.upf
Pm 145.00 Pm.upf
Np 237.00 Np.upf
O 16.00 O.upf
ATOMIC_POSITIONS angstrom
Ca 5.903 3.408 2.037
Ca 2.951 1.704 4.680
Pm 8.854 5.112 2.913
Np 2.951 1.704 0.241
O 4.827 1.452 1.289
O 4.746 5.317 1.289
O 8.135 3.454 1.289
O 6.804 4.798 3.937
O 6.656 1.932 3.937
O 4.248 3.494 3.937
CELL_PARAMETERS angstrom
5.903 0.000 0.000
2.951 5.112 0.000
2.951 1.704 5.094
```

Calculated values
Density of states at the Fermi level, states/eV per cell: 8.11
ΔE_f (raw), kJ per mole of atoms: -300
Energy, eV per atom: -8.252
SG: No. 146



Crystalline CaPmNpO6 at its relaxed geometry. Source: Alexandria via LeMat-Bulk, functional PBE-GGA. Values from VASP.

Cell and atoms, written as Quantum ESPRESSO input:
```
&SYSTEM
  ibrav = 0, nat = 18, ntyp = 4
/
ATOMIC_SPECIES
Ca 40.08 Ca.upf
Pm 145.00 Pm.upf
Np 237.00 Np.upf
O 16.00 O.upf
ATOMIC_POSITIONS angstrom
Ca -2.712 0.218 3.083
Ca -3.789 5.943 3.688
Pm 0.000 0.000 0.000
Pm -0.430 3.639 3.124
Np -3.359 2.304 0.564
Np -3.142 3.857 6.207
O -3.837 0.386 1.033
O -4.356 2.245 -1.204
O -3.561 1.930 6.694
O -2.145 3.916 7.975
O -2.314 2.393 2.304
O -5.117 2.788 1.458
O -4.913 4.380 7.053
O -2.941 4.231 0.077
O -1.384 3.373 5.313
O -1.588 1.781 -0.282
O -4.187 3.768 4.467
O -2.665 5.775 5.738
CELL_PARAMETERS angstrom
-3.790 2.570 -3.516
-1.850 -3.687 4.040
-0.861 7.277 6.247
```

Calculated values
ΔE_f (raw), kJ per mole of atoms: -284
Energy, eV per atom: -8.441
SG: No. 163



Crystalline CaPm2NpO6 at its relaxed geometry. Source: Alexandria via LeMat-Bulk, functional PBE-GGA. Values from VASP.

Cell and atoms, written as Quantum ESPRESSO input:
```
&SYSTEM
  ibrav = 0, nat = 10, ntyp = 4
/
ATOMIC_SPECIES
Ca 40.08 Ca.upf
Pm 145.00 Pm.upf
Np 237.00 Np.upf
O 16.00 O.upf
ATOMIC_POSITIONS angstrom
Ca -1.890 -10.253 -2.715
Pm -1.360 -6.867 -1.751
Pm -3.723 -4.409 0.926
Np -0.065 -3.237 -1.239
O -1.458 -4.614 -2.344
O 0.518 -7.203 -0.409
O -1.126 -8.139 -3.691
O -2.343 -8.941 -0.808
O -3.811 -6.820 -2.138
O -2.481 -6.301 0.390
CELL_PARAMETERS angstrom
-1.379 -3.815 -4.395
1.945 -5.651 0.226
-4.063 -4.518 1.127
```

Calculated values
Density of states at the Fermi level, states/eV per cell: 11.58
ΔE_f (raw), kJ per mole of atoms: -305
Energy, eV per atom: -8.580
SG: No. 146



Crystalline Ca2PrNpO6 at its relaxed geometry. Source: Alexandria via LeMat-Bulk, functional PBE-GGA. Values from VASP.

Cell and atoms, written as Quantum ESPRESSO input:
```
&SYSTEM
  ibrav = 0, nat = 10, ntyp = 4
/
ATOMIC_SPECIES
Ca 40.08 Ca.upf
Pr 140.91 Pr.upf
Np 237.00 Np.upf
O 16.00 O.upf
ATOMIC_POSITIONS angstrom
Ca 5.930 3.424 2.061
Ca 2.965 1.712 4.740
Pr 8.896 5.136 2.959
Np 2.965 1.712 0.238
O 4.852 1.481 1.280
O 4.786 5.329 1.280
O 8.153 3.462 1.280
O 6.794 4.831 3.963
O 6.717 1.973 3.963
O 4.280 3.468 3.963
CELL_PARAMETERS angstrom
5.930 0.000 0.000
2.965 5.136 0.000
2.965 1.712 5.129
```

Calculated values
Density of states at the Fermi level, states/eV per cell: 8.08
ΔE_f (raw), kJ per mole of atoms: -297
Energy, eV per atom: -8.228
SG: No. 146



Crystalline CaPr2NpO6 at its relaxed geometry. Source: Alexandria via LeMat-Bulk, functional PBE-GGA. Values from VASP.

Cell and atoms, written as Quantum ESPRESSO input:
```
&SYSTEM
  ibrav = 0, nat = 20, ntyp = 4
/
ATOMIC_SPECIES
Ca 40.08 Ca.upf
Pr 140.91 Pr.upf
Np 237.00 Np.upf
O 16.00 O.upf
ATOMIC_POSITIONS angstrom
Ca 2.924 0.000 0.006
Ca 0.035 3.047 4.390
Pr 0.156 5.765 2.226
Pr 3.115 3.375 6.622
Pr 5.762 0.328 6.566
Pr 2.803 2.718 2.170
Np 2.959 0.000 4.396
Np 0.000 3.047 0.000
O 1.731 4.214 0.627
O 4.690 4.926 5.023
O 4.187 1.879 8.165
O 1.228 1.167 3.769
O 1.828 4.313 3.641
O 4.787 4.826 8.037
O 4.090 1.780 5.151
O 1.131 1.267 0.755
O 5.024 3.491 2.112
O 2.135 5.649 6.495
O 0.894 2.602 6.680
O 3.783 0.444 2.297
CELL_PARAMETERS angstrom
5.849 0.000 0.013
0.000 6.093 0.000
0.069 0.000 8.779
```

Calculated values
Density of states at the Fermi level, states/eV per cell: 19.44
ΔE_f (raw), kJ per mole of atoms: -302
Energy, eV per atom: -8.550
SG: No. 14



Crystalline CaPr2NpO8 at its relaxed geometry. Source: Alexandria via LeMat-Bulk, functional PBE-GGA. Values from VASP.

Cell and atoms, written as Quantum ESPRESSO input:
```
&SYSTEM
  ibrav = 0, nat = 12, ntyp = 4
/
ATOMIC_SPECIES
Ca 40.08 Ca.upf
Pr 140.91 Pr.upf
Np 237.00 Np.upf
O 16.00 O.upf
ATOMIC_POSITIONS angstrom
Ca 3.288 -1.714 1.172
Pr 3.260 -5.216 2.649
Pr -0.063 -3.484 1.464
Np 0.000 0.000 0.000
O -0.051 -4.365 -0.879
O 4.297 -7.424 2.892
O -0.595 -2.331 3.622
O 3.248 -4.335 4.993
O -1.100 -1.276 1.221
O 3.793 -6.369 0.491
O 1.154 -5.534 1.572
O 2.043 -3.166 2.542
CELL_PARAMETERS angstrom
-1.605 -0.531 3.725
-1.774 -4.741 -1.956
6.576 -3.428 2.345
```

Calculated values
Density of states at the Fermi level, states/eV per cell: 6.97
ΔE_f (raw), kJ per mole of atoms: -272
Energy, eV per atom: -8.168
SG: No. 10



Crystalline CaPuNpO6 at its relaxed geometry. Source: Alexandria via LeMat-Bulk, functional PBE-GGA. Values from VASP.

Cell and atoms, written as Quantum ESPRESSO input:
```
&SYSTEM
  ibrav = 0, nat = 18, ntyp = 4
/
ATOMIC_SPECIES
Ca 40.08 Ca.upf
Pu 244.00 Pu.upf
Np 237.00 Np.upf
O 16.00 O.upf
ATOMIC_POSITIONS angstrom
Ca 0.000 3.290 2.349
Ca 2.849 1.645 7.048
Pu 0.000 0.000 0.000
Pu 0.000 0.000 4.699
Np 2.849 1.645 2.349
Np 0.000 3.290 7.048
O 2.064 3.217 1.213
O 4.603 1.538 1.213
O -0.969 4.756 5.911
O -1.754 3.396 8.184
O 1.095 1.538 3.486
O 3.634 3.217 3.486
O 0.969 4.756 8.184
O 3.818 0.179 3.486
O -0.785 1.718 5.911
O 1.880 0.179 1.213
O 1.754 3.396 5.911
O 0.785 1.718 8.184
CELL_PARAMETERS angstrom
5.698 0.000 0.000
-2.849 4.935 0.000
0.000 0.000 9.397
```

Calculated values
Density of states at the Fermi level, states/eV per cell: 25.50
ΔE_f (raw), kJ per mole of atoms: -280
Energy, eV per atom: -9.456
SG: No. 163



> What is the formula in the second record?

Ca2PmNpO6



> energy of number 5 (Ca2PrNpO6)?

-8.228 eV per atom



> Which of these has the highest ΔE_f (raw)?

Ca2NpPdO6



> The highest ΔE_f (raw) belongs to which entry?

Ca2NpPdO6